The following is a DFT calculation (PBE) of an optimized crystal structure of Nd2AlRh3.

a b c (Å): 4.236 5.389 6.481
angles (deg): 114.57 109.08 90.00
Sites, in units of the cell vectors:
Nd  0.683  0.183  0.367
Nd  0.317  0.817  0.633
Al  0.000  0.500  0.000
Rh  0.377  0.377  0.753
Rh  0.000  0.000  0.000
Rh  0.623  0.623  0.247

Calculated values
As for the excess energy over the best structure of this formula in the dataset: 1.91 eV per formula unit.



The following is a DFT calculation (PBE) of an optimized crystal structure of NiSbP2.

a b c (Å): 6.522 6.522 6.522
angles (deg): 31.22 31.22 31.22
Sites, in units of the cell vectors:
Ni  0.738  0.738  0.738
P  0.004  0.004  0.004
P  0.265  0.265  0.265
Sb  0.494  0.494  0.494

Calculated values
The value obtained for the formation energy without anion corrections is 0.0561 eV/atom.



The following is a DFT calculation (PBE) of an optimized crystal structure of CaMgCd3.

a b c (Å): 5.286 5.286 5.286
angles (deg): 90.00 90.00 90.00
Sites, in units of the cell vectors:
Ca  0.500  0.500  0.500
Mg  0.000  0.000  0.000
Cd  0.000  0.500  0.000
Cd  0.000  0.000  0.500
Cd  0.500  0.000  0.000

Calculated values
As for the excess energy over the best structure of this formula in the dataset: 1.57 eV per formula unit.



The following is a DFT calculation (PBE) of an optimized crystal structure of TiAsSe2.

a b c (Å): 6.404 6.404 6.935
angles (deg): 62.50 62.50 90.00
Site moments in Bohr magnetons follow the coordinates.
Sites, in units of the cell vectors:
As  0.000  0.000  0.000  0.14
As  0.750  0.250  0.500  0.14
Se  0.587  0.125  0.250  -0.03
Se  0.163  0.625  0.250  -0.03
Se  0.375  0.413  0.750  -0.03
Se  0.875  0.837  0.750  -0.03
Ti  0.500  0.500  0.000  0.77
Ti  0.250  0.750  0.500  0.77

Calculated values
The value obtained for the formation energy without anion corrections is -0.0957 eV/atom.



The following is a DFT calculation (PBE) of an optimized crystal structure of Tb12Y5Er2.

a b c (Å): 6.789 8.807 11.839
angles (deg): 117.04 99.83 78.56
Sites, in units of the cell vectors:
Tb  0.908  0.987  0.744
Tb  0.402  0.841  0.409
Tb  0.914  0.783  0.388
Tb  0.364  0.451  0.217
Tb  0.873  0.351  0.201
Tb  0.488  0.708  0.089
Tb  0.512  0.292  0.911
Tb  0.636  0.549  0.783
Tb  0.127  0.649  0.799
Tb  0.598  0.159  0.591
Tb  0.086  0.217  0.612
Tb  0.092  0.013  0.256
Y  0.746  0.539  0.512
Y  0.586  0.117  0.294
Y  0.000  0.500  0.000
Y  0.414  0.883  0.706
Y  0.254  0.461  0.488
Er  0.761  0.943  0.992
Er  0.239  0.057  0.008

Calculated values
As for the excess energy over the best structure of this formula in the dataset: 0.00 eV per formula unit.



The following is a DFT calculation (PBE) of an optimized crystal structure of LiH7S4O16.

a b c (Å): 5.101 7.432 8.781
angles (deg): 81.38 86.86 79.91
Sites, in units of the cell vectors:
Li  0.485  0.494  0.513
H  0.807  0.054  0.814
H  0.185  0.943  0.184
H  0.049  0.556  0.771
H  0.943  0.450  0.229
H  0.622  0.983  0.331
H  0.374  0.010  0.672
H  0.491  0.483  0.005
S  0.967  0.768  0.339
S  0.030  0.228  0.660
S  0.663  0.713  0.812
S  0.326  0.286  0.193
O  0.184  0.716  0.443
O  0.814  0.281  0.555
O  0.975  0.669  0.821
O  0.018  0.337  0.179
O  0.606  0.918  0.783
O  0.381  0.082  0.219
O  0.817  0.626  0.311
O  0.180  0.369  0.687
O  0.581  0.626  0.690
O  0.414  0.376  0.310
O  0.775  0.927  0.402
O  0.221  0.068  0.598
O  0.552  0.651  0.966
O  0.445  0.341  0.035
O  0.062  0.851  0.176
O  0.931  0.146  0.823



These records have DOS(E_F) values of 3.17 2.76 2.75 4.55 30.83 0.00 states/eV/f.u., in the order they appear.
These records have calculated total energy values of -38.35 -20.50 -5.78 -39.79 -94.93 -156.07 eV/cell, in the order they appear.
These records have magnetization values of 0.000 0.000 0.000 0.287 0.000 0.003 μB/atom, in the order they appear.